(1)
LiCdTe2 | Alexandria | PBE | relaxed; E_form (uncorrected) = -0.2760 eV per atom; total DFT energy (no corrections) = -10.22 eV/cell; total moment = 0.0 μB/cell; DOS(E_F) = 0.74 states/eV per atom
1.0
2.429 0.000 8.732
-1.215 2.104 8.732
-1.215 -2.104 8.732
Li Te Cd
1 2 1
direct
0.000 0.000 0.000 Li
0.900 0.900 0.900 Te
0.100 0.100 0.100 Te
0.500 0.500 0.500 Cd



(2)
Li2CdTe | Alexandria | PBE | relaxed; E_form (uncorrected) = -0.5248 eV per atom; energy above the most stable polymorph in this dataset = 0.0000 eV per atom; total DFT energy (no corrections) = -9.98 eV/cell; total moment = 0.0 μB/cell; DOS(E_F) = 0.38 states/eV per atom
1.0
4.596 0.000 0.000
0.000 3.984 -0.012
0.000 0.014 4.594
Li Te Cd
2 1 1
direct
0.000 0.126 0.875 Li
0.500 0.124 0.375 Li
0.000 0.623 0.375 Te
0.500 0.627 0.875 Cd



- Among the records above, which one has the highest DOS(E_F)?
  LiCdTe2



- The highest DOS(E_F) belongs to which entry?
  LiCdTe2